[1]
Here is Sc4SbTe4 after structural relaxation from Alexandria via LeMat-Bulk. Energies are from PBE.

The structure belongs to space group C2/m (No. 12); the cell edges are 13.8116, 4.1385 and 10.1835 Å and the angles 90.00°, 120.13° and 90.00°. The distinct sites, in fractional coordinates, are Sc at (0.0986, 0.0000, 0.4023), Sc at (0.1986, 0.5000, 0.8043), Sb at (0.0000, 0.5000, 0.5000), Te at (0.0985, 0.0000, 0.9011) and Te at (0.1970, 0.5000, 0.2956).

The uncorrected formation energy comes out at -1173 meV/atom.

[2]
Here is ScSbTe2 after structural relaxation from Alexandria via LeMat-Bulk. Energies are from PBE.

The structure belongs to space group Fmmm (No. 69); the cell edges are 6.3510, 8.6232 and 8.6471 Å and the angles 90.00°, 90.00° and 90.00°. The distinct sites, in fractional coordinates, are Sc at (0.0000, 0.0000, 0.0000), Sb at (0.0000, 0.0000, 0.5000) and Te at (0.0000, 0.2500, 0.2500).

The uncorrected formation energy comes out at -398 meV/atom.

[3]
Here is Sc5Sb2Te2 after structural relaxation from Alexandria via LeMat-Bulk. Energies are from PBE.

The structure belongs to space group Cmce (No. 64); the cell edges are 14.5561, 7.6780 and 7.6670 Å and the angles 90.00°, 90.00° and 90.00°. The distinct sites, in fractional coordinates, are Sc at (0.0000, 0.0000, 0.0000), Sc at (0.1345, 0.1557, 0.3425), Sb at (0.0000, 0.1466, 0.6439) and Te at (0.2007, 0.0000, 0.0000).

The uncorrected formation energy comes out at -955 meV/atom.

uncorrected formation energy of number 2 (ScSbTe2)? -398 meV/atom